# HoEr4Pb5

A geometry-optimized HoEr4Pb5 structure (PBE-GGA, the Alexandria database).

Properties
Calculated volume   30.59 Å³ per atom
ΔE_f   -290 meV/atom
Space-group type   No. 79

```
data_HoEr4Pb5
_cell_length_a 7.661
_cell_length_b 7.661
_cell_length_c 7.661
_cell_angle_alpha 99.59
_cell_angle_beta 99.59
_cell_angle_gamma 131.81
_space_group_name_H-M_alt 'P 1'
_space_group_IT_number 1
_space_group_name_Hall 'P 1'
loop_
_atom_site_label
_atom_site_type_symbol
_atom_site_fract_x
_atom_site_fract_y
_atom_site_fract_z
Ho1 Ho 0.000 0.000 0.000
Er1 Er 0.197 0.597 0.801
Er2 Er 0.397 0.197 0.600
Er3 Er 0.597 0.797 0.400
Er4 Er 0.797 0.397 0.199
Pb1 Pb 0.097 0.298 0.401
Pb2 Pb 0.298 0.897 0.201
Pb3 Pb 0.500 0.500 0.000
Pb4 Pb 0.696 0.097 0.799
Pb5 Pb 0.897 0.696 0.599
```


# CsCaI2O8

A geometry-optimized CsCaI2O8 structure (PBE-GGA, the Alexandria database).

Properties
Calculated volume   21.76 Å³ per atom
Formation energy without anion corrections   -0.894 eV/atom
Space-group type   No. 148

```
data_CsCaI2O8
_cell_length_a 9.572
_cell_length_b 9.572
_cell_length_c 9.572
_cell_angle_alpha 35.26
_cell_angle_beta 35.26
_cell_angle_gamma 35.26
_space_group_name_H-M_alt 'P 1'
_space_group_IT_number 1
_space_group_name_Hall 'P 1'
loop_
_atom_site_label
_atom_site_type_symbol
_atom_site_fract_x
_atom_site_fract_y
_atom_site_fract_z
Cs1 Cs 0.000 0.000 0.000
Ca1 Ca 0.500 0.500 0.500
I1 I 0.237 0.237 0.237
I2 I 0.763 0.763 0.763
O1 O 0.100 0.489 0.754
O2 O 0.246 0.900 0.511
O3 O 0.305 0.305 0.305
O4 O 0.489 0.754 0.100
O5 O 0.511 0.246 0.900
O6 O 0.695 0.695 0.695
O7 O 0.754 0.100 0.489
O8 O 0.900 0.511 0.246
```


# Rb2ZrCdCl6

A geometry-optimized Rb2ZrCdCl6 structure (PBE-GGA, the Alexandria database).

Properties
Calculated volume   38.76 Å³ per atom
Formation energy without anion corrections   -1.595 eV/atom
Space-group type   No. 225

```
data_Rb2ZrCdCl6
_cell_length_a 8.184
_cell_length_b 8.184
_cell_length_c 8.184
_cell_angle_alpha 60.00
_cell_angle_beta 60.00
_cell_angle_gamma 60.00
_space_group_name_H-M_alt 'P 1'
_space_group_IT_number 1
_space_group_name_Hall 'P 1'
loop_
_atom_site_label
_atom_site_type_symbol
_atom_site_fract_x
_atom_site_fract_y
_atom_site_fract_z
Rb1 Rb 0.250 0.250 0.250
Rb2 Rb 0.750 0.750 0.750
Zr1 Zr 0.000 0.000 0.000
Cd1 Cd 0.500 0.500 0.500
Cl1 Cl 0.215 0.215 0.785
Cl2 Cl 0.215 0.785 0.215
Cl3 Cl 0.215 0.785 0.785
Cl4 Cl 0.785 0.215 0.215
Cl5 Cl 0.785 0.215 0.785
Cl6 Cl 0.785 0.785 0.215
```


# K2BaZr

A geometry-optimized K2BaZr structure (PBE-GGA, the Alexandria database).

Properties
Calculated volume   47.84 Å³ per atom
ΔE_f   830 meV/atom
Space-group type   No. 139

```
data_K2BaZr
_cell_length_a 7.793
_cell_length_b 7.793
_cell_length_c 7.793
_cell_angle_alpha 140.31
_cell_angle_beta 140.31
_cell_angle_gamma 57.38
_space_group_name_H-M_alt 'P 1'
_space_group_IT_number 1
_space_group_name_Hall 'P 1'
loop_
_atom_site_label
_atom_site_type_symbol
_atom_site_fract_x
_atom_site_fract_y
_atom_site_fract_z
K1 K 0.250 0.750 0.500
K2 K 0.750 0.250 0.500
Ba1 Ba 0.000 0.000 0.000
Zr1 Zr 0.500 0.500 0.000
```


# BaCr2Pb

A geometry-optimized BaCr2Pb structure (PBE-GGA, the Alexandria database).

Properties
Calculated volume   28.07 Å³ per atom
ΔE_f   884 meV/atom
Space-group type   No. 12

```
data_BaCr2Pb
_cell_length_a 6.235
_cell_length_b 6.235
_cell_length_c 3.389
_cell_angle_alpha 102.73
_cell_angle_beta 102.73
_cell_angle_gamma 111.97
_space_group_name_H-M_alt 'P 1'
_space_group_IT_number 1
_space_group_name_Hall 'P 1'
loop_
_atom_site_label
_atom_site_type_symbol
_atom_site_fract_x
_atom_site_fract_y
_atom_site_fract_z
Ba1 Ba 0.000 0.000 0.000
Cr1 Cr 0.000 0.500 0.500
Cr2 Cr 0.500 0.000 0.500
Pb1 Pb 0.500 0.500 0.000
```


# Sc2Be5FeCo2

A geometry-optimized Sc2Be5FeCo2 structure (PBE-GGA, the Alexandria database).

Properties
Calculated volume   11.36 Å³ per atom
ΔE_f   -117 meV/atom
Space-group type   No. 127

```
data_Sc2Be5FeCo2
_cell_length_a 8.881
_cell_length_b 8.881
_cell_length_c 2.880
_cell_angle_alpha 90.00
_cell_angle_beta 90.00
_cell_angle_gamma 90.00
_space_group_name_H-M_alt 'P 1'
_space_group_IT_number 1
_space_group_name_Hall 'P 1'
loop_
_atom_site_label
_atom_site_type_symbol
_atom_site_fract_x
_atom_site_fract_y
_atom_site_fract_z
Sc1 Sc 0.179 0.321 0.000
Sc2 Sc 0.321 0.821 0.000
Sc3 Sc 0.679 0.179 0.000
Sc4 Sc 0.821 0.679 0.000
Be1 Be 0.000 0.500 0.500
Be2 Be 0.052 0.814 0.500
Be3 Be 0.186 0.052 0.500
Be4 Be 0.314 0.552 0.500
Be5 Be 0.448 0.314 0.500
Be6 Be 0.500 0.000 0.500
Be7 Be 0.552 0.686 0.500
Be8 Be 0.686 0.448 0.500
Be9 Be 0.814 0.948 0.500
Be10 Be 0.948 0.186 0.500
Fe1 Fe 0.000 0.000 0.000
Fe2 Fe 0.500 0.500 0.000
Co1 Co 0.126 0.626 0.000
Co2 Co 0.374 0.126 0.000
Co3 Co 0.626 0.874 0.000
Co4 Co 0.874 0.374 0.000
```


# LaSm4Ag

A geometry-optimized LaSm4Ag structure (PBE-GGA, the Alexandria database).

Properties
Calculated volume   31.82 Å³ per atom
ΔE_f   -66 meV/atom
Space-group type   No. 123

```
data_LaSm4Ag
_cell_length_a 3.682
_cell_length_b 3.682
_cell_length_c 14.080
_cell_angle_alpha 90.00
_cell_angle_beta 90.00
_cell_angle_gamma 90.00
_space_group_name_H-M_alt 'P 1'
_space_group_IT_number 1
_space_group_name_Hall 'P 1'
loop_
_atom_site_label
_atom_site_type_symbol
_atom_site_fract_x
_atom_site_fract_y
_atom_site_fract_z
La1 La 0.000 0.000 0.000
Sm1 Sm 0.000 0.000 0.366
Sm2 Sm 0.000 0.000 0.634
Sm3 Sm 0.500 0.500 0.185
Sm4 Sm 0.500 0.500 0.815
Ag1 Ag 0.500 0.500 0.500
```


# BaNdEu2

A geometry-optimized BaNdEu2 structure (PBE-GGA, the Alexandria database).

Properties
Calculated volume   44.57 Å³ per atom
ΔE_f   87 meV/atom
Space-group type   No. 123

```
data_BaNdEu2
_cell_length_a 3.986
_cell_length_b 3.986
_cell_length_c 11.220
_cell_angle_alpha 90.00
_cell_angle_beta 90.00
_cell_angle_gamma 90.00
_space_group_name_H-M_alt 'P 1'
_space_group_IT_number 1
_space_group_name_Hall 'P 1'
loop_
_atom_site_label
_atom_site_type_symbol
_atom_site_fract_x
_atom_site_fract_y
_atom_site_fract_z
Ba1 Ba 0.000 0.000 0.000
Nd1 Nd 0.000 0.000 0.500
Eu1 Eu 0.500 0.500 0.279
Eu2 Eu 0.500 0.500 0.721
```


| no. | DOS at the Fermi energy (states/eV per cell) |
| --- | --- |
| 1 | 8.6 |
| 2 | 5.4 |
| 3 | 0.0 |
| 4 | 7.7 |
| 5 | 3.4 |
| 6 | 14.8 |
| 7 | 9.8 |
| 8 | 14.6 |